12
Lattice="8.130 -3.019 0.000 8.130 3.019 0.000 -4.191 0.000 8.486" Properties=species:S:1:pos:R:3 comment="Tb4Nd7Sm (PBE, relaxed)" de_polymorph_mev_per_atom=197 dos_at_fermi_per_ev_cell=19.96 m_tot_mub_per_cell=0.12 pbc="T T T"
Tb 0.343 0.000 1.676
Tb -0.934 0.000 7.529
Tb 13.004 0.000 0.958
Tb 11.727 0.000 6.810
Nd -2.095 0.000 4.243
Nd 2.079 0.000 5.250
Nd 3.594 0.000 2.267
Nd 6.536 0.000 0.456
Nd 5.534 0.000 8.031
Nd 8.476 0.000 6.220
Nd 9.990 0.000 3.236
Sm 6.035 0.000 4.243


11
Lattice="4.312 -5.521 0.000 4.312 5.521 0.000 -2.015 0.000 8.089" Properties=species:S:1:pos:R:3 comment="Tb2Nd7Sm2 (PBE, relaxed)" de_polymorph_mev_per_atom=103 dos_at_fermi_per_ev_cell=17.11 m_tot_mub_per_cell=0.00 pbc="T T T"
Tb 4.312 3.172 0.000
Tb 4.312 -3.172 0.000
Nd 1.942 3.201 2.668
Nd 2.582 0.000 0.159
Nd 4.667 3.201 5.421
Nd 3.305 0.000 4.044
Nd 1.942 -3.201 2.668
Nd 4.028 0.000 7.930
Nd 4.667 -3.201 5.421
Sm 0.069 0.000 2.595
Sm 6.540 0.000 5.494